The following is a DFT calculation (GGA+U) of an optimized crystal structure of VCdNF2.

```
5
Lattice="4.316 0.000 0.000 0.000 4.316 0.000 0.000 0.000 4.401" Properties=species:S:1:pos:R:3 pbc="T T T"
N 0.000 0.000 2.200
F 0.000 2.158 0.000
F 2.158 0.000 0.000
V 2.158 2.158 2.200
Cd 0.000 0.000 0.000
```

Properties
* DOS(E_F): 1.8 states/eV per cell
* total moment: 2.07 μB/f.u.
* excess energy over the best structure of this formula in the dataset: 1.033 eV per atom